Entry 1:
A plane-wave DFT calculation with PBE was carried out for an optimized crystal structure of MgTlTc2.

abc: 7.5309 7.5309 5.3518
angles: 90.00 90.00 90.00
Space group I-42d (No. 122)
Inequivalent atoms, fractional coordinates:
1 Mg 0.0000 0.0000 0.0000
2 Tl 0.0000 0.0000 0.5000
3 Tc 0.2493 0.2500 0.1250

Distance to the lowest polymorph of the same formula in meV/atom: 852
Crystal system: tetragonal
Size of the total moment in Bohr magnetons per cell: 8.04
Final energy in eV/atom: -5.156
Volume in Å³ per cell: 304
Energy relative to the elements in kJ/mol of atoms: 98


Entry 2:
A plane-wave DFT calculation with PBE was carried out for an optimized crystal structure of YBe2.

abc: 3.0018 3.0018 10.3060
angles: 90.00 90.00 90.00
Space group I4/mmm (No. 139)
Inequivalent atoms, fractional coordinates:
1 Y 0.0000 0.0000 0.0000
2 Be 0.0000 0.0000 0.2943

Crystal system: tetragonal
Size of the total moment in Bohr magnetons per cell: 0.00
Final energy in eV/atom: -4.371
Volume in Å³ per cell: 93
Energy relative to the elements in kJ/mol of atoms: 26


Entry 3:
A plane-wave DFT calculation with PBE was carried out for an optimized crystal structure of TbGdHgBi.

abc: 7.6523 7.6523 7.6523
angles: 90.00 90.00 90.00
Space group F-43m (No. 216)
Inequivalent atoms, fractional coordinates:
1 Tb 0.0000 0.0000 0.0000
2 Gd 0.0000 0.0000 0.5000
3 Hg 0.2500 0.2500 0.7500
4 Bi 0.2500 0.2500 0.2500

Crystal system: cubic
Size of the total moment in Bohr magnetons per cell: 31.11
Final energy in eV/atom: -6.259
Volume in Å³ per cell: 448
Energy relative to the elements in kJ/mol of atoms: -52


Entry 4:
A plane-wave DFT calculation with PBE was carried out for an optimized crystal structure of Ca2La2Ag3.

abc: 5.2461 5.2527 9.1641
angles: 90.02 106.58 119.96
Space group P-1 (No. 2)
Inequivalent atoms, fractional coordinates:
1 Ca 0.2488 0.3742 0.1236
2 La 0.2470 0.8738 0.6192
3 Ag 0.0010 0.2508 0.7515
4 Ag 0.5000 0.0000 0.0000

Crystal system: triclinic
Size of the total moment in Bohr magnetons per cell: 0.00
Final energy in eV/atom: -3.380
Volume in Å³ per cell: 207
Energy relative to the elements in kJ/mol of atoms: -17


- The lowest volume belongs to which entry?
  YBe2


Repeat the fourth record exactly.
A plane-wave DFT calculation with PBE was carried out for an optimized crystal structure of Ca2La2Ag3.

abc: 5.2461 5.2527 9.1641
angles: 90.02 106.58 119.96
Space group P-1 (No. 2)
Inequivalent atoms, fractional coordinates:
1 Ca 0.2488 0.3742 0.1236
2 La 0.2470 0.8738 0.6192
3 Ag 0.0010 0.2508 0.7515
4 Ag 0.5000 0.0000 0.0000

Crystal system: triclinic
Size of the total moment in Bohr magnetons per cell: 0.00
Final energy in eV/atom: -3.380
Volume in Å³ per cell: 207
Energy relative to the elements in kJ/mol of atoms: -17